The following is a GGA-PBE calculation of a relaxed structure of CoMoPb, from the Alexandria database.

CIF file:
```
data_CoMoPb
_chemical_formula_sum 'Co2 Mo2 Pb2'
_cell_length_a 3.0311
_cell_length_b 3.0311
_cell_length_c 11.2934
_cell_angle_alpha 90.00
_cell_angle_beta 90.00
_cell_angle_gamma 90.00
_space_group_name_H-M_alt 'I 4 m m'
_space_group_IT_number 107
_space_group_name_Hall 'I 4 -2'
loop_
_atom_site_label
_atom_site_type_symbol
_atom_site_fract_x
_atom_site_fract_y
_atom_site_fract_z
_atom_site_occupancy
Co1 Co 0.0000 0.0000 0.0000 1
Mo1 Mo 0.0000 0.0000 0.3839 1
Pb1 Pb 0.0000 0.0000 0.6817 1
```

Raw total energy in eV for the cell shown: -40.12
Calculated volume in Å³/cell: 104
Polymorph energy (0 for the lowest one) in kJ/mol of atoms: 0.9
Magnetic moment in μB/f.u.: 0.0
Formation enthalpy at 0 K in eV/atom: 0.5277
DOS(E_F) in states/eV/f.u.: 4.02

***

The following is a GGA-PBE calculation of a relaxed structure of CoMo2Pb, from the Alexandria database.

CIF file:
```
data_CoMo2Pb
_chemical_formula_sum 'Co3 Mo6 Pb3'
_cell_length_a 2.9346
_cell_length_b 2.9346
_cell_length_c 27.4526
_cell_angle_alpha 90.00
_cell_angle_beta 90.00
_cell_angle_gamma 120.00
_space_group_name_H-M_alt 'R -3 m'
_space_group_IT_number 166
_space_group_name_Hall '-R 3 2"'
loop_
_atom_site_label
_atom_site_type_symbol
_atom_site_fract_x
_atom_site_fract_y
_atom_site_fract_z
_atom_site_occupancy
Co1 Co 0.0000 0.0000 0.0000 1
Mo1 Mo 0.0000 0.0000 0.2610 1
Pb1 Pb 0.0000 0.0000 0.5000 1
```

Raw total energy in eV for the cell shown: -88.42
Calculated volume in Å³/cell: 205
Magnetic moment in μB/f.u.: 0.7
Formation enthalpy at 0 K in eV/atom: 0.7510
DOS(E_F) in states/eV/f.u.: 4.64

***

The following is a GGA-PBE calculation of a relaxed structure of CoMoPb, from the Alexandria database.

CIF file:
```
data_CoMoPb
_chemical_formula_sum 'Co1 Mo1 Pb1'
_cell_length_a 3.1244
_cell_length_b 3.1244
_cell_length_c 6.4190
_cell_angle_alpha 90.00
_cell_angle_beta 90.00
_cell_angle_gamma 120.00
_space_group_name_H-M_alt 'P 3 m 1'
_space_group_IT_number 156
loop_
_space_group_symop_operation_xyz
'x,y,z'
'-y,x-y,z'
'-x+y,-x,z'
'-y,-x,z'
'-x+y,y,z'
'x,x-y,z'
loop_
_atom_site_label
_atom_site_type_symbol
_atom_site_fract_x
_atom_site_fract_y
_atom_site_fract_z
_atom_site_occupancy
Co1 Co 0.0000 0.0000 0.0000 1
Mo1 Mo 0.6667 0.3333 0.2483 1
Pb1 Pb 0.3333 0.6667 0.6410 1
```

Raw total energy in eV for the cell shown: -19.63
Calculated volume in Å³/cell: 54
Polymorph energy (0 for the lowest one) in kJ/mol of atoms: 14.6
Magnetic moment in μB/f.u.: 0.0
Formation enthalpy at 0 K in eV/atom: 0.6701
DOS(E_F) in states/eV/f.u.: 2.93

***

The following is a GGA-PBE calculation of a relaxed structure of CoMoPb2, from the Alexandria database.

CIF file:
```
data_CoMoPb2
_chemical_formula_sum 'Co3 Mo3 Pb6'
_cell_length_a 3.2448
_cell_length_b 3.2448
_cell_length_c 25.7478
_cell_angle_alpha 90.00
_cell_angle_beta 90.00
_cell_angle_gamma 120.00
_space_group_name_H-M_alt 'R -3 m'
_space_group_IT_number 166
_space_group_name_Hall '-R 3 2"'
loop_
_atom_site_label
_atom_site_type_symbol
_atom_site_fract_x
_atom_site_fract_y
_atom_site_fract_z
_atom_site_occupancy
Co1 Co 0.0000 0.0000 0.0000 1
Mo1 Mo 0.0000 0.0000 0.5000 1
Pb1 Pb 0.0000 0.0000 0.2553 1
```

Raw total energy in eV for the cell shown: -66.78
Calculated volume in Å³/cell: 235
Polymorph energy (0 for the lowest one) in kJ/mol of atoms: 39.7
Magnetic moment in μB/f.u.: 1.7
Formation enthalpy at 0 K in eV/atom: 0.7733
DOS(E_F) in states/eV/f.u.: 5.12

***

The following is a GGA-PBE calculation of a relaxed structure of CoMoPb2, from the Alexandria database.

CIF file:
```
data_CoMoPb2
_chemical_formula_sum 'Co2 Mo2 Pb4'
_cell_length_a 3.6588
_cell_length_b 5.1469
_cell_length_c 8.2688
_cell_angle_alpha 90.00
_cell_angle_beta 90.00
_cell_angle_gamma 90.00
_space_group_name_H-M_alt 'C m m m'
_space_group_IT_number 65
_space_group_name_Hall '-C 2 2'
loop_
_atom_site_label
_atom_site_type_symbol
_atom_site_fract_x
_atom_site_fract_y
_atom_site_fract_z
_atom_site_occupancy
Co1 Co 0.0000 0.0000 0.0000 1
Mo1 Mo 0.0000 0.0000 0.5000 1
Pb1 Pb 0.0000 0.5000 0.2302 1
```

Raw total energy in eV for the cell shown: -44.24
Calculated volume in Å³/cell: 156
Polymorph energy (0 for the lowest one) in kJ/mol of atoms: 43.1
Magnetic moment in μB/f.u.: 0.4
Formation enthalpy at 0 K in eV/atom: 0.8080
DOS(E_F) in states/eV/f.u.: 3.80

***

The following is a GGA-PBE calculation of a relaxed structure of CoMo2Pb, from the Alexandria database.

CIF file:
```
data_CoMo2Pb
_chemical_formula_sum 'Co1 Mo2 Pb1'
_cell_length_a 2.9376
_cell_length_b 2.9376
_cell_length_c 7.7377
_cell_angle_alpha 90.00
_cell_angle_beta 90.00
_cell_angle_gamma 90.00
_space_group_name_H-M_alt 'P 4/m m m'
_space_group_IT_number 123
_space_group_name_Hall '-P 4 2'
loop_
_atom_site_label
_atom_site_type_symbol
_atom_site_fract_x
_atom_site_fract_y
_atom_site_fract_z
_atom_site_occupancy
Co1 Co 0.0000 0.0000 0.0000 1
Mo1 Mo 0.5000 0.5000 0.2053 1
Pb1 Pb 0.0000 0.0000 0.5000 1
```

Raw total energy in eV for the cell shown: -30.09
Calculated volume in Å³/cell: 67
Magnetic moment in μB/f.u.: 1.3
Formation enthalpy at 0 K in eV/atom: 0.5964
DOS(E_F) in states/eV/f.u.: 3.90

***

The following is a GGA-PBE calculation of a relaxed structure of CoMo2Pb, from the Alexandria database.

CIF file:
```
data_CoMo2Pb
_chemical_formula_sum 'Co2 Mo4 Pb2'
_cell_length_a 3.9469
_cell_length_b 4.3684
_cell_length_c 7.7615
_cell_angle_alpha 90.00
_cell_angle_beta 90.00
_cell_angle_gamma 90.00
_space_group_name_H-M_alt 'C m m m'
_space_group_IT_number 65
_space_group_name_Hall '-C 2 2'
loop_
_atom_site_label
_atom_site_type_symbol
_atom_site_fract_x
_atom_site_fract_y
_atom_site_fract_z
_atom_site_occupancy
Co1 Co 0.0000 0.0000 0.0000 1
Mo1 Mo 0.0000 0.5000 0.2050 1
Pb1 Pb 0.0000 0.0000 0.5000 1
```

Raw total energy in eV for the cell shown: -60.21
Calculated volume in Å³/cell: 134
Magnetic moment in μB/f.u.: 1.3
Formation enthalpy at 0 K in eV/atom: 0.5932
DOS(E_F) in states/eV/f.u.: 3.32

***

The following is a GGA-PBE calculation of a relaxed structure of Co2MoPb, from the Alexandria database.

CIF file:
```
data_Co2MoPb
_chemical_formula_sum 'Co4 Mo2 Pb2'
_cell_length_a 4.1250
_cell_length_b 4.1250
_cell_length_c 6.9920
_cell_angle_alpha 90.00
_cell_angle_beta 90.00
_cell_angle_gamma 90.00
_space_group_name_H-M_alt 'I 4/m m m'
_space_group_IT_number 139
_space_group_name_Hall '-I 4 2'
loop_
_atom_site_label
_atom_site_type_symbol
_atom_site_fract_x
_atom_site_fract_y
_atom_site_fract_z
_atom_site_occupancy
Co1 Co 0.0000 0.5000 0.2500 1
Mo1 Mo 0.0000 0.0000 0.0000 1
Pb1 Pb 0.0000 0.0000 0.5000 1
```

Raw total energy in eV for the cell shown: -53.60
Calculated volume in Å³/cell: 119
Magnetic moment in μB/f.u.: 2.3
Formation enthalpy at 0 K in eV/atom: 0.4880
DOS(E_F) in states/eV/f.u.: 4.18